Below is a relaxed structure of TbNd3Pa2N6, with properties calculated at the GGA-PBE level.

The structure in POSCAR format:
```
TbNd3Pa2N6
1.0
-5.880 -0.101 1.848
2.135 -4.412 -3.738
2.770 -1.716 5.298
Pa Nd N Tb
2 3 6 1
direct
0.333 0.667 0.000
0.667 0.333 0.000
0.166 0.834 0.500
0.834 0.166 0.500
0.500 0.500 0.500
0.420 0.073 0.217
0.275 0.275 0.783
0.927 0.580 0.783
0.073 0.420 0.217
0.725 0.725 0.217
0.580 0.927 0.783
0.000 0.000 0.000
```

Its symmetry is No. 12. The total moment comes out at 0.00 μB/f.u. The value obtained for the calculated volume is 193.2 Å³ per cell. The formation energy (no corrections) comes out at -153.31 kJ/mol of atoms.

=====

Below is a relaxed structure of MgCrFe2, with properties calculated at the GGA-PBE level.

The structure in POSCAR format:
```
MgCrFe2
1.0
4.532 0.078 0.000
-1.417 4.306 0.000
0.000 0.000 2.685
Cr Fe Mg
1 2 1
direct
0.000 0.500 0.500
0.500 0.500 0.000
0.000 0.000 0.000
0.500 0.000 0.500
```

Its symmetry is No. 65. The total moment comes out at 1.82 μB/f.u. The value obtained for the calculated volume is 52.7 Å³ per cell. For the formation energy from the elements, the calculation gives 349 meV per atom.

=====

| no. | calculated density (g/cm³) |
| --- | --- |
| 1 | 9.781 |
| 2 | 5.924 |